(1)
Compound: CaHfRe2C
Source: Alexandria via LeMat-Bulk
Functional: PBE-GGA
Structure: optimized geometry

Computed properties:
DFT formation energy (eV per atom): 3.87
Crystal system: tetragonal

POSCAR file:
```
CaHfRe2C
1.0
4.4529 0.0000 0.0000
0.0000 4.4529 0.0000
0.0000 0.0000 5.1341
Ca Hf Re C
1 1 2 1
Cartesian
0.0000 0.0000 0.0000 Ca
0.0000 0.0000 2.5670 Hf
0.0000 2.2265 0.0000 Re
2.2265 0.0000 0.0000 Re
2.2265 2.2265 2.5670 C
```


(2)
Compound: Sc4H2CO
Source: Alexandria via LeMat-Bulk
Functional: PBE-GGA
Structure: optimized geometry

Computed properties:
Crystal system: monoclinic

POSCAR file:
```
Sc4H2CO
1.0
5.5046 0.0000 0.0000
0.0000 3.2987 0.0000
-1.8906 0.0000 5.3185
Sc H C O
4 2 1 1
Cartesian
0.8214 0.0000 1.2823 Sc
-0.1284 1.6493 3.9521 Sc
2.7926 0.0000 4.0362 Sc
3.7424 1.6493 1.3664 Sc
2.7523 0.0000 0.0000 H
1.8070 1.6493 2.6593 H
0.0000 1.6493 0.0000 C
-0.9453 0.0000 2.6593 O
```


(3)
Compound: Mo2Br
Source: Alexandria via LeMat-Bulk
Functional: PBE-GGA
Structure: optimized geometry

Computed properties:
Crystal system: tetragonal
Energy relative to the lowest polymorph listed for this composition (kJ/mol of formula units): 297
Energy relative to the elements, uncorrected (meV per atom): 1139

POSCAR file:
```
Mo2Br
1.0
-3.0667 3.0667 2.9101
3.0667 -3.0667 2.9101
3.0667 3.0667 -2.9101
Mo Br
4 2
Cartesian
3.8596 0.7929 0.0000 Mo
0.7929 2.2739 0.0000 Mo
2.2739 0.7929 2.9101 Mo
-0.7929 2.2739 2.9101 Mo
0.0000 0.0000 1.4551 Br
0.0000 0.0000 4.3652 Br
```


(4)
Compound: Dy8Er3In4
Source: Alexandria via LeMat-Bulk
Functional: PBE-GGA
Structure: optimized geometry

Computed properties:
DFT formation energy (eV per atom): 0.08
Crystal system: monoclinic

POSCAR file:
```
Dy8Er3In4
1.0
6.4457 -6.3381 0.0000
6.4457 6.3381 0.0000
-3.2754 0.0000 5.6674
Dy Er In
8 3 4
Cartesian
6.4457 4.5209 0.0000 Dy
-0.2378 0.0000 5.5494 Dy
1.4797 0.0000 2.7944 Dy
4.8080 3.2986 2.8337 Dy
4.8080 -3.2986 2.8337 Dy
8.1364 0.0000 2.8730 Dy
9.8539 0.0000 0.1180 Dy
6.4457 -4.5209 0.0000 Dy
3.2229 3.1691 0.0000 Er
3.2229 -3.1691 0.0000 Er
4.8080 0.0000 2.8337 Er
-1.6377 0.0000 2.8337 In
1.5852 3.1691 2.8337 In
1.5852 -3.1691 2.8337 In
6.4457 0.0000 0.0000 In
```


(5)
Compound: Ce3NO2
Source: Alexandria via LeMat-Bulk
Functional: PBE-GGA
Structure: optimized geometry

Computed properties:
Crystal system: orthorhombic
Energy relative to the elements, uncorrected (meV per atom): -2465

POSCAR file:
```
Ce3NO2
1.0
0.0000 5.0002 10.6214
3.5313 0.0000 10.6214
3.5313 5.0002 0.0000
Ce N O
12 4 8
Cartesian
2.6417 1.2360 6.1852 Ce
4.4290 3.7501 7.9660 Ce
2.6553 1.2360 9.7469 Ce
4.4210 3.7361 11.4958 Ce
6.1946 6.2502 13.2767 Ce
4.4074 3.7361 15.0576 Ce
2.6553 6.2642 6.1852 Ce
0.8680 3.7501 7.9660 Ce
2.6417 6.2642 9.7469 Ce
4.4074 8.7643 11.4958 Ce
2.6337 6.2502 13.2767 Ce
4.4210 8.7643 15.0576 Ce
0.8828 1.2500 0.8853 N
0.8828 1.2500 4.4254 N
6.1798 8.7503 16.8173 N
6.1798 8.7503 20.3574 N
2.6485 3.7501 2.6329 O
2.6485 3.7501 6.1744 O
4.4142 6.2502 7.9436 O
2.6485 3.7501 9.7577 O
4.4142 6.2502 11.4850 O
2.6485 3.7501 13.2991 O
4.4142 6.2502 15.0684 O
4.4142 6.2502 18.6098 O
```


(6)
Compound: PrInH6Ir2
Source: Alexandria via LeMat-Bulk
Functional: PBE-GGA
Structure: optimized geometry

Computed properties:
Crystal system: trigonal

POSCAR file:
```
PrInH6Ir2
1.0
2.3302 1.3454 5.6385
-2.3302 1.3454 5.6385
0.0000 -2.6907 5.6385
Pr In H Ir
1 1 6 2
Cartesian
0.0000 0.0000 0.0000 Pr
0.0000 0.0000 8.4577 In
-1.2182 -0.7034 6.6065 H
0.0000 -1.4067 10.3090 H
-1.2182 0.7034 10.3090 H
1.2182 -0.7034 6.6065 H
0.0000 1.4067 6.6065 H
1.2182 0.7034 10.3090 H
0.0000 0.0000 3.6427 Ir
0.0000 0.0000 13.2728 Ir
```


(7)
Compound: CuIr3
Source: Alexandria via LeMat-Bulk
Functional: PBE-GGA
Structure: optimized geometry

Computed properties:
DFT formation energy (eV per atom): 0.14
Crystal system: orthorhombic

POSCAR file:
```
CuIr3
1.0
2.6855 -3.8819 0.0000
2.6855 3.8819 0.0000
0.0000 0.0000 2.7077
Cu Ir
1 3
Cartesian
0.0000 0.0000 0.0000 Cu
1.3428 1.9410 1.3539 Ir
1.3428 -1.9410 1.3539 Ir
2.6855 0.0000 0.0000 Ir
```


(8)
Compound: LaAlTl2
Source: Alexandria via LeMat-Bulk
Functional: PBE-GGA
Structure: optimized geometry

Computed properties:
DFT formation energy (eV per atom): -0.02
Crystal system: tetragonal
Energy relative to the lowest polymorph listed for this composition (kJ/mol of formula units): 100

POSCAR file:
```
LaAlTl2
1.0
-2.3341 2.3341 11.0300
2.3341 -2.3341 11.0300
2.3341 2.3341 -11.0300
La Al Tl
2 2 4
Cartesian
0.0000 0.0000 0.0000 La
0.0000 2.3341 5.5150 La
2.3341 0.0000 5.5150 Al
0.0000 0.0000 11.0300 Al
1.1670 -1.0335 8.2725 Tl
1.3006 1.1670 2.7575 Tl
1.1670 3.3676 -2.7575 Tl
1.0335 1.1670 13.7875 Tl
```


(9)
Compound: InCu2Ru
Source: Alexandria via LeMat-Bulk
Functional: PBE-GGA
Structure: optimized geometry

Computed properties:
DFT formation energy (eV per atom): 0.41
Crystal system: trigonal

POSCAR file:
```
InCu2Ru
1.0
1.4177 0.8185 8.7912
-1.4177 0.8185 8.7912
0.0000 -1.6370 8.7912
In Cu Ru
1 2 1
Cartesian
0.0000 0.0000 0.0000 In
0.0000 0.0000 6.4714 Cu
0.0000 0.0000 19.9023 Cu
0.0000 0.0000 13.1869 Ru
```


(10)
Compound: KYSi2O6
Source: Alexandria via LeMat-Bulk
Functional: PBE-GGA
Structure: optimized geometry

Computed properties:
Crystal system: monoclinic
Energy relative to the elements, uncorrected (meV per atom): -2901

POSCAR file:
```
KYSi2O6
1.0
5.1694 -4.9528 0.0000
5.1694 4.9528 0.0000
-1.2070 0.0000 5.3329
K Y Si O
2 2 4 12
Cartesian
4.2642 3.2030 3.9997 K
4.8676 -3.2030 1.3332 K
4.8676 1.1455 1.3332 Y
4.2642 -1.1455 3.9997 Y
1.3105 0.8159 4.1773 Si
1.9140 -0.8159 1.5109 Si
7.2178 0.8159 3.8220 Si
7.8213 -0.8159 1.1556 Si
3.2999 2.6927 1.4602 O
1.6780 0.1082 0.1189 O
1.0745 -0.1082 2.7854 O
2.9047 0.7214 4.5561 O
6.4354 2.6927 1.2063 O
3.5082 -0.7214 1.8896 O
5.6236 0.7214 3.4433 O
2.6964 -2.6927 4.1266 O
6.2271 -0.7214 0.7768 O
8.0572 0.1082 2.5475 O
7.4538 -0.1082 5.2140 O
5.8319 -2.6927 3.8727 O
```


(11)
Compound: NbHgBi2S
Source: Alexandria via LeMat-Bulk
Functional: PBE-GGA
Structure: optimized geometry

Computed properties:
Crystal system: tetragonal
Energy relative to the elements, uncorrected (meV per atom): 481

POSCAR file:
```
NbHgBi2S
1.0
5.5788 0.0000 0.0000
0.0000 5.5788 0.0000
0.0000 0.0000 4.5686
Nb Hg Bi S
1 1 2 1
Cartesian
0.0000 0.0000 0.0000 Nb
2.7894 2.7894 0.0000 Hg
0.0000 2.7894 2.2843 Bi
2.7894 0.0000 2.2843 Bi
0.0000 0.0000 2.2843 S
```


(12)
Compound: Ce3C2O2
Source: Alexandria via LeMat-Bulk
Functional: PBE-GGA
Structure: optimized geometry

Computed properties:
Crystal system: monoclinic
Energy relative to the elements, uncorrected (meV per atom): -1711

POSCAR file:
```
Ce3C2O2
1.0
5.8961 -1.7856 0.0000
5.8961 1.7856 0.0000
-2.9704 0.0000 5.4043
Ce C O
3 2 2
Cartesian
0.0000 0.0000 0.0000 Ce
3.0894 0.0000 1.6115 Ce
5.7324 0.0000 3.7928 Ce
-1.0650 0.0000 2.1409 C
9.8868 0.0000 3.2634 C
1.2546 0.0000 4.8711 O
7.5672 0.0000 0.5332 O
```


no.,uncorrected energy (eV per atom)
1,-5.3425
2,-6.9117
3,-6.6396
4,-4.0185
5,-8.4726
6,-4.8722
7,-7.5297
8,-3.3682
9,-4.6418
10,-7.7167
11,-3.9709
12,-8.3057